An optimized crystal structure of BeAl2W, computed with GGA-PBE.

abc: 2.867 3.632 5.400
angles: 90.00 90.00 90.00
Sites, in units of the cell vectors:
Be 0.000 0.000 0.000
Al 0.000 0.000 0.493
Al 0.500 0.500 0.762
W 0.500 0.500 0.240

Output
The value obtained for the total DFT energy (no corrections) is -5.958 eV/atom. For the formation energy, the calculation gives 0.3 eV per formula unit. As for the theoretical density: 7.3 g/cm3.